Record 1
# BeTl2Pb

A relaxed BeTl2Pb crystal (PBE-GGA, the Alexandria database).

Calculated values
The polymorph energy (0 for the lowest one) is 0.091 eV per atom. As for the formation energy: 0.43 eV per atom.

a = 8.4313 Å, b = 8.4313 Å, c = 5.8655 Å
α = 90.00°, β = 90.00°, γ = 90.00°
Space group I-42d (No. 122)
Asymmetric unit:
Be 0.0000 0.0000 0.0000
Tl 0.1659 0.7500 0.1250
Pb 0.0000 0.0000 0.5000

---

Record 2
# PrCdBiAu

A relaxed PrCdBiAu crystal (PBE-GGA, the Alexandria database).

Calculated values
As for the formation energy: -0.41 eV per atom.

a = 7.5243 Å, b = 7.5243 Å, c = 7.5243 Å
α = 90.00°, β = 90.00°, γ = 90.00°
Space group F-43m (No. 216)
Asymmetric unit:
Pr 0.0000 0.0000 0.0000
Cd 0.0000 0.0000 0.5000
Bi 0.2500 0.2500 0.2500
Au 0.2500 0.2500 0.7500

---

Record 3
# In5Ga4Hg4

A relaxed In5Ga4Hg4 crystal (PBE-GGA, the Alexandria database).

Calculated values
As for the formation energy: 0.04 eV per atom.

a = 4.2235 Å, b = 8.9483 Å, c = 8.9662 Å
α = 83.77°, β = 76.72°, γ = 77.21°
Space group P-1 (No. 2)
Asymmetric unit:
In 0.0000 0.0000 0.0000
In 0.2924 0.1174 0.3153
In 0.4091 0.3044 0.8814
Ga 0.0858 0.5032 0.3318
Ga 0.4155 0.6633 0.5039
Hg 0.0945 0.1443 0.6619
Hg 0.2351 0.6575 0.8603

---

Record 4
# MgBeV2Cu

A relaxed MgBeV2Cu crystal (PBE-GGA, the Alexandria database).

Calculated values
As for the formation energy: 1.85 eV per atom.

a = 4.5230 Å, b = 4.5230 Å, c = 4.1282 Å
α = 90.00°, β = 90.00°, γ = 90.00°
Space group P4/mmm (No. 123)
Asymmetric unit:
Mg 0.0000 0.0000 0.0000
Be 0.0000 0.0000 0.5000
V 0.0000 0.5000 0.0000
Cu 0.5000 0.5000 0.5000

---

Record 5
# SmGe3Pd3

A relaxed SmGe3Pd3 crystal (PBE-GGA, the Alexandria database).

Calculated values
The polymorph energy (0 for the lowest one) is 0.000 eV per atom. As for the formation energy: -0.47 eV per atom.

a = 8.8437 Å, b = 4.6243 Å, c = 8.8470 Å
α = 90.00°, β = 119.86°, γ = 90.00°
Space group P2_1/m (No. 11)
Asymmetric unit:
Sm 0.1667 0.2500 0.3329
Ge 0.1043 0.2500 0.9513
Ge 0.1527 0.7500 0.6042
Ge 0.4520 0.7500 0.3457
Pd 0.1232 0.2500 0.6868
Pd 0.1871 0.7500 0.0634
Pd 0.4353 0.7500 0.6214

---

Record 6
# MgAlInHg

A relaxed MgAlInHg crystal (PBE-GGA, the Alexandria database).

Calculated values
As for the formation energy: 0.06 eV per atom.

a = 7.0592 Å, b = 7.0592 Å, c = 7.0592 Å
α = 90.00°, β = 90.00°, γ = 90.00°
Space group F-43m (No. 216)
Asymmetric unit:
Mg 0.0000 0.0000 0.0000
Al 0.0000 0.0000 0.5000
In 0.2500 0.2500 0.7500
Hg 0.2500 0.2500 0.2500